(1)
A plane-wave DFT calculation with PBE-GGA was carried out for crystalline Mo3AuN at its relaxed geometry.

abc: 4.8386 4.8386 4.8386
angles: 90.00 90.00 90.00
Fractional positions:
Mo 0.0000 0.0000 0.5000
Mo 0.0000 0.5000 0.0000
Mo 0.5000 0.0000 0.0000
Au 0.0000 0.0000 0.0000
N 0.5000 0.5000 0.5000

* N(E_F): 6.41 states/eV/f.u.
* total magnetic moment: 0.00 μB per cell
* space-group type: Pm-3m
* raw total energy: -5.423 eV/atom



(2)
A plane-wave DFT calculation with PBE-GGA was carried out for crystalline Nb2MoAuN at its relaxed geometry.

abc: 4.2762 4.2762 4.1411
angles: 90.00 90.00 90.00
Fractional positions:
Nb 0.0000 0.5000 0.0000
Nb 0.5000 0.0000 0.0000
Mo 0.0000 0.0000 0.5000
Au 0.5000 0.5000 0.5000
N 0.0000 0.0000 0.0000

* N(E_F): 4.71 states/eV/f.u.
* total magnetic moment: 0.00 μB per cell
* space-group type: P4/mmm
* raw total energy: -8.909 eV/atom



(3)
A plane-wave DFT calculation with PBE-GGA was carried out for crystalline NiMoAuN2 at its relaxed geometry.

abc: 3.9263 3.9263 4.6445
angles: 90.00 90.00 90.00
Fractional positions:
Ni 0.0000 0.0000 0.0000
Mo 0.5000 0.5000 0.0000
Au 0.0000 0.0000 0.5000
N 0.0000 0.5000 0.5000
N 0.5000 0.0000 0.5000

* N(E_F): 7.24 states/eV/f.u.
* total magnetic moment: 0.00 μB per cell
* space-group type: P4/mmm
* raw total energy: -4.989 eV/atom